DFT (GGA+U) results for PaV2RuO8 after structural relaxation.

a b c (Å): 4.806 4.806 6.139
angles (deg): 90.13 90.13 89.18
Element x y z (fractional)
Pa 0.000 0.000 0.000
V 0.500 0.500 0.269
V 0.500 0.500 0.731
Ru 0.000 0.000 0.500
O 0.212 0.212 0.730
O 0.213 0.213 0.268
O 0.292 0.708 0.500
O 0.318 0.682 0.000
O 0.682 0.318 0.000
O 0.708 0.292 0.500
O 0.787 0.787 0.732
O 0.788 0.788 0.270

Total moment: 3.033 Bohr magnetons per cell
DOS(E_F): 5.2 states/eV per cell
Total DFT energy (no corrections): -0.30355 Ha/atom
Crystal system: monoclinic